1.
Computed, not measured: an optimized crystal structure of Ge2AsSe at the GGA-PBE level of DFT.

extended XYZ file:
```
16
Lattice="3.986 -7.689 0.000 3.986 7.689 0.000 -3.959 0.000 5.501" Properties=species:S:1:pos:R:3 pbc="T T T"
Ge -0.980 2.888 4.084
Ge 0.857 0.963 1.337
Ge -1.122 -0.963 4.087
Ge 0.999 -2.888 1.334
Ge 3.013 2.888 4.167
Ge 5.135 0.963 1.414
Ge 3.155 -0.963 4.164
Ge 4.993 -2.888 1.416
As 2.996 6.703 1.375
As 1.016 4.781 4.126
As 2.996 -4.781 1.375
As 1.016 -6.703 4.126
Se 2.996 2.880 1.375
Se 1.016 0.957 4.126
Se 2.996 -0.957 1.375
Se 1.016 -2.880 4.126
```

Properties
**Total moment**: 0.00 μB per cell
**Calculated total energy**: -4.371 eV per atom
**Excess energy over the best structure of this formula in the dataset**: 0 meV per atom
**Theoretical density**: 5.9 g/cm3

=====

2.
Computed, not measured: an optimized crystal structure of GeAsSe4 at the GGA-PBE level of DFT.

extended XYZ file:
```
12
Lattice="7.181 0.000 0.000 0.000 6.602 0.000 0.000 0.000 6.651" Properties=species:S:1:pos:R:3 pbc="T T T"
Ge 0.000 1.129 0.000
Ge 3.591 5.473 3.326
As 0.000 3.585 3.240
As 3.591 3.017 6.566
Se 0.000 1.276 4.200
Se 0.000 5.411 0.605
Se 1.711 4.689 4.709
Se 1.879 1.914 1.383
Se 3.591 1.191 3.931
Se 3.591 5.326 0.874
Se 5.302 1.914 1.383
Se 5.470 4.689 4.709
```

Properties
**Total moment**: 0.00 μB per cell
**Calculated total energy**: -3.842 eV per atom
**Theoretical density**: 4.9 g/cm3

=====

What is the calculated total energy in the second record?
-3.842 eV per atom